# 1
Material: BiRuNF2
Method: DFT, GGA-PBE
State: optimized geometry

Lattice parameters (Å, degrees): 4.477 4.477 4.542 90.00 90.00 90.00
Space group P4/mmm (No. 123)
Inequivalent atoms, fractional coordinates:
1 Bi 0.000 0.000 0.000
2 Ru 0.500 0.500 0.500
3 N 0.000 0.000 0.500
4 F 0.000 0.500 0.000

Calculated values
- V (Å³/atom) = 18.2
- excess energy over the best structure of this formula in the dataset (meV/atom) = 710
- raw formation energy (eV/atom) = 0.32

***

# 2
Material: BiRu2NF
Method: DFT, GGA-PBE
State: optimized geometry

Lattice parameters (Å, degrees): 4.021 4.021 5.003 90.00 90.00 90.00
Space group P4/mmm (No. 123)
Inequivalent atoms, fractional coordinates:
1 Bi 0.000 0.000 0.000
2 Ru 0.000 0.500 0.500
3 N 0.500 0.500 0.000
4 F 0.500 0.500 0.500

Calculated values
- V (Å³/atom) = 16.2
- raw formation energy (eV/atom) = 1.31

***

# 3
Material: BiRuNF2
Method: DFT, GGA-PBE
State: optimized geometry

Lattice parameters (Å, degrees): 4.438 4.438 3.741 90.00 90.00 90.00
Space group P4/mmm (No. 123)
Inequivalent atoms, fractional coordinates:
1 Bi 0.000 0.000 0.000
2 Ru 0.500 0.500 0.500
3 N 0.500 0.500 0.000
4 F 0.000 0.500 0.500

Calculated values
- V (Å³/atom) = 14.7
- excess energy over the best structure of this formula in the dataset (meV/atom) = 0
- raw formation energy (eV/atom) = -0.39

***

# 4
Material: BiSN2F
Method: DFT, GGA-PBE
State: optimized geometry

Lattice parameters (Å, degrees): 4.401 4.401 4.288 90.00 90.00 90.00
Space group P4/mmm (No. 123)
Inequivalent atoms, fractional coordinates:
1 Bi 0.000 0.000 0.000
2 S 0.500 0.500 0.500
3 N 0.000 0.500 0.000
4 F 0.000 0.000 0.500

Calculated values
- V (Å³/atom) = 16.6
- excess energy over the best structure of this formula in the dataset (meV/atom) = 501
- raw formation energy (eV/atom) = 1.29

***

# 5
Material: BiSNF2
Method: DFT, GGA-PBE
State: optimized geometry

Lattice parameters (Å, degrees): 4.417 4.417 4.666 90.00 90.00 90.00
Space group P4/mmm (No. 123)
Inequivalent atoms, fractional coordinates:
1 Bi 0.000 0.000 0.000
2 S 0.500 0.500 0.500
3 N 0.000 0.000 0.500
4 F 0.000 0.500 0.000

Calculated values
- V (Å³/atom) = 18.2
- excess energy over the best structure of this formula in the dataset (meV/atom) = 120
- raw formation energy (eV/atom) = 0.03

***

# 6
Material: BiSN2F
Method: DFT, GGA-PBE
State: optimized geometry

Lattice parameters (Å, degrees): 3.893 3.893 4.056 90.00 90.00 90.00
Space group P4/mmm (No. 123)
Inequivalent atoms, fractional coordinates:
1 Bi 0.000 0.000 0.000
2 S 0.500 0.500 0.500
3 N 0.000 0.500 0.500
4 F 0.500 0.500 0.000

Calculated values
- V (Å³/atom) = 12.3
- excess energy over the best structure of this formula in the dataset (meV/atom) = 0
- raw formation energy (eV/atom) = 0.79

***

Look up the raw formation energy of the fifth one. 0.03 eV/atom